NdFeF5 | GGA+U | relaxed

Geometry as POSCAR:
```
NdFeF5
1.0
5.472 -0.070 1.996
1.150 5.350 1.996
-0.050 -0.040 7.900
F Nd Fe
10 2 2
Direct
0.891 0.109 0.250
0.109 0.891 0.750
0.694 0.320 0.534
0.320 0.694 0.034
0.216 0.254 0.880
0.680 0.306 0.966
0.254 0.216 0.380
0.746 0.784 0.620
0.784 0.746 0.120
0.306 0.680 0.466
0.553 0.447 0.250
0.447 0.553 0.750
0.000 0.000 0.500
0.000 0.000 0.000
```

* energy: -86.67 eV for the cell shown